TmMgAlGa | PBE | optimized geometry

Cell: 6.922 6.922 6.922 Å, 90.00 90.00 90.00°
Space group F-43m (No. 216)
Inequivalent atoms, fractional coordinates:
Tm: 0.000 0.000 0.000 (multiplicity 4)
Mg: 0.000 0.000 0.500 (multiplicity 4)
Al: 0.250 0.250 0.750 (multiplicity 4)
Ga: 0.250 0.250 0.250 (multiplicity 4)

Properties
DFT formation energy: -0.26 eV/atom
raw total energy: -3.472 eV/atom
DOS(E_F): 0.575 states/eV per atom